*one*
The following is a PBE calculation of a geometry-optimized ZrFeAg2 structure, from Alexandria via LeMat-Bulk.

CIF file:
```
data_ZrFeAg2
_chemical_formula_sum 'Zr4 Fe4 Ag8'
_cell_length_a 6.542
_cell_length_b 6.542
_cell_length_c 6.542
_cell_angle_alpha 90.00
_cell_angle_beta 90.00
_cell_angle_gamma 90.00
_symmetry_space_group_name_H-M 'F -4 3 m'
_symmetry_Int_Tables_number 216
_symmetry_space_group_name_Hall 'F -4 2 3'
loop_
_atom_site_label
_atom_site_fract_x
_atom_site_fract_y
_atom_site_fract_z
Zr1 0.000 0.000 0.000
Fe1 0.250 0.250 0.250
Ag1 0.000 0.000 0.500
Ag2 0.250 0.250 0.750
```

Properties
**Crystal system**: cubic



*two*
The following is a PBE calculation of a geometry-optimized ZrFeAg2 structure, from Alexandria via LeMat-Bulk.

CIF file:
```
data_ZrFeAg2
_chemical_formula_sum 'Zr1 Fe1 Ag2'
_cell_length_a 4.871
_cell_length_b 4.871
_cell_length_c 3.056
_cell_angle_alpha 90.00
_cell_angle_beta 90.00
_cell_angle_gamma 90.00
_symmetry_space_group_name_H-M 'P 4/m m m'
_symmetry_Int_Tables_number 123
_symmetry_space_group_name_Hall '-P 4 2'
loop_
_atom_site_label
_atom_site_fract_x
_atom_site_fract_y
_atom_site_fract_z
Zr1 0.000 0.000 0.000
Fe1 0.500 0.500 0.000
Ag1 0.000 0.500 0.500
```

Properties
**Crystal system**: tetragonal



Most stable: *one*. Least stable: *two*.



*one*
The following is a PBE calculation of a geometry-optimized ZrFeAg2 structure, from Alexandria via LeMat-Bulk.

CIF file:
```
data_ZrFeAg2
_chemical_formula_sum 'Zr1 Fe1 Ag2'
_cell_length_a 3.821
_cell_length_b 3.821
_cell_length_c 4.571
_cell_angle_alpha 90.00
_cell_angle_beta 90.00
_cell_angle_gamma 90.00
_symmetry_space_group_name_H-M 'P 4/m m m'
_symmetry_Int_Tables_number 123
_symmetry_space_group_name_Hall '-P 4 2'
loop_
_atom_site_label
_atom_site_fract_x
_atom_site_fract_y
_atom_site_fract_z
Zr1 0.000 0.000 0.000
Fe1 0.500 0.500 0.000
Ag1 0.000 0.500 0.500
```

Properties
**Crystal system**: tetragonal



*two*
The following is a PBE calculation of a geometry-optimized ZrFeAg2 structure, from Alexandria via LeMat-Bulk.

CIF file:
```
data_ZrFeAg2
_chemical_formula_sum 'Zr2 Fe2 Ag4'
_cell_length_a 9.504
_cell_length_b 2.963
_cell_length_c 5.134
_cell_angle_alpha 90.00
_cell_angle_beta 102.57
_cell_angle_gamma 90.00
_symmetry_space_group_name_H-M 'C 1 m 1'
_symmetry_Int_Tables_number 8
loop_
_symmetry_equiv_pos_as_xyz
'x,y,z'
'x,-y,z'
'x+1/2,y+1/2,z'
'x+1/2,-y+1/2,z'
loop_
_atom_site_label
_atom_site_fract_x
_atom_site_fract_y
_atom_site_fract_z
Zr1 0.000 0.000 0.000
Fe1 0.242 0.500 0.230
Ag1 0.236 0.000 0.716
Ag2 0.480 0.000 0.481
```

Properties
**Crystal system**: monoclinic



*three*
The following is a PBE calculation of a geometry-optimized ZrFeAg2 structure, from Alexandria via LeMat-Bulk.

CIF file:
```
data_ZrFeAg2
_chemical_formula_sum 'Zr4 Fe4 Ag8'
_cell_length_a 3.788
_cell_length_b 3.788
_cell_length_c 20.505
_cell_angle_alpha 90.00
_cell_angle_beta 90.00
_cell_angle_gamma 90.00
_symmetry_space_group_name_H-M 'I -4 2 d'
_symmetry_Int_Tables_number 122
_symmetry_space_group_name_Hall 'I -4 2bw'
loop_
_atom_site_label
_atom_site_fract_x
_atom_site_fract_y
_atom_site_fract_z
Zr1 0.000 0.000 0.000
Fe1 0.000 0.000 0.500
Ag1 0.240 0.250 0.625
```

Properties
**Crystal system**: tetragonal



Most stable: *one*. Least stable: *three*.



*one*
The following is a PBE calculation of a geometry-optimized ZrFeAg2 structure, from Alexandria via LeMat-Bulk.

CIF file:
```
data_ZrFeAg2
_chemical_formula_sum 'Zr4 Fe4 Ag8'
_cell_length_a 6.511
_cell_length_b 6.511
_cell_length_c 6.511
_cell_angle_alpha 90.00
_cell_angle_beta 90.00
_cell_angle_gamma 90.00
_symmetry_space_group_name_H-M 'F m -3 m'
_symmetry_Int_Tables_number 225
_symmetry_space_group_name_Hall '-F 4 2 3'
loop_
_atom_site_label
_atom_site_fract_x
_atom_site_fract_y
_atom_site_fract_z
Zr1 0.000 0.000 0.000
Fe1 0.000 0.000 0.500
Ag1 0.250 0.250 0.250
```

Properties
**Crystal system**: cubic



*two*
The following is a PBE calculation of a geometry-optimized ZrFeAg2 structure, from Alexandria via LeMat-Bulk.

CIF file:
```
data_ZrFeAg2
_chemical_formula_sum 'Zr1 Fe1 Ag2'
_cell_length_a 3.313
_cell_length_b 3.382
_cell_length_c 6.296
_cell_angle_alpha 90.00
_cell_angle_beta 90.00
_cell_angle_gamma 90.00
_symmetry_space_group_name_H-M 'P m m 2'
_symmetry_Int_Tables_number 25
loop_
_symmetry_equiv_pos_as_xyz
'x,y,z'
'-x,-y,z'
'-x,y,z'
'x,-y,z'
loop_
_atom_site_label
_atom_site_fract_x
_atom_site_fract_y
_atom_site_fract_z
Zr1 0.000 0.000 0.000
Fe1 0.500 0.500 0.214
Ag1 0.000 0.000 0.461
Ag2 0.500 0.500 0.709
```

Properties
**Crystal system**: orthorhombic



Most stable: *two*. Least stable: *one*.



*one*
The following is a PBE calculation of a geometry-optimized ZrFeAg2 structure, from Alexandria via LeMat-Bulk.

CIF file:
```
data_ZrFeAg2
_chemical_formula_sum 'Zr1 Fe1 Ag2'
_cell_length_a 2.835
_cell_length_b 4.739
_cell_length_c 5.327
_cell_angle_alpha 90.00
_cell_angle_beta 103.27
_cell_angle_gamma 90.00
_symmetry_space_group_name_H-M 'P 1 2/m 1'
_symmetry_Int_Tables_number 10
loop_
_symmetry_equiv_pos_as_xyz
'x,y,z'
'-x,-y,-z'
'-x,y,-z'
'x,-y,z'
loop_
_atom_site_label
_atom_site_fract_x
_atom_site_fract_y
_atom_site_fract_z
Zr1 0.000 0.000 0.000
Fe1 0.500 0.000 0.500
Ag1 0.336 0.500 0.733
```

Properties
**Crystal system**: monoclinic



*two*
The following is a PBE calculation of a geometry-optimized ZrFeAg2 structure, from Alexandria via LeMat-Bulk.

CIF file:
```
data_ZrFeAg2
_chemical_formula_sum 'Zr2 Fe2 Ag4'
_cell_length_a 5.545
_cell_length_b 8.777
_cell_length_c 2.886
_cell_angle_alpha 90.00
_cell_angle_beta 90.00
_cell_angle_gamma 90.00
_symmetry_space_group_name_H-M 'C m m m'
_symmetry_Int_Tables_number 65
_symmetry_space_group_name_Hall '-C 2 2'
loop_
_atom_site_label
_atom_site_fract_x
_atom_site_fract_y
_atom_site_fract_z
Zr1 0.000 0.000 0.000
Fe1 0.000 0.500 0.000
Ag1 0.250 0.250 0.500
```

Properties
**Crystal system**: orthorhombic



*three*
The following is a PBE calculation of a geometry-optimized ZrFeAg2 structure, from Alexandria via LeMat-Bulk.

CIF file:
```
data_ZrFeAg2
_chemical_formula_sum 'Zr3 Fe3 Ag6'
_cell_length_a 2.9189
_cell_length_b 2.9189
_cell_length_c 28.9508
_cell_angle_alpha 90.00
_cell_angle_beta 90.00
_cell_angle_gamma 120.00
_symmetry_space_group_name_H-M 'R -3 m'
_symmetry_Int_Tables_number 166
_symmetry_space_group_name_Hall '-R 3 2"'
loop_
_atom_site_label
_atom_site_fract_x
_atom_site_fract_y
_atom_site_fract_z
Zr1 0.0000 0.0000 0.0000
Fe1 0.0000 0.0000 0.5000
Ag1 0.0000 0.0000 0.2432
```

Properties
**Crystal system**: trigonal



Most stable: *one*. Least stable: *three*.